1.
This record from the Alexandria database describes crystalline InRhCl2 at its relaxed geometry. The functional is PBE-GGA.

a = 3.3772 Å, b = 6.2550 Å, c = 8.8843 Å
α = 90.00°, β = 90.00°, γ = 90.00°
Closest atoms and distances in Å follow each position.
Space group Cmmm (No. 65)
Unique sites:
In  0.0000  0.0000  0.0000 (multiplicity 2)  4 Cl 3.26, 6 In 3.38-3.55
Rh  0.0000  0.0000  0.5000 (multiplicity 2)  4 Cl 2.36
Cl  0.0000  0.5000  0.3145 (multiplicity 4)  2 Rh 2.36

Properties
E_tot	-3.609	eV per atom
volume	23.460	A^3/atom
DOS(E_F)	0.57	states/eV per atom
E above lowest polymorph	0.280	eV/atom


2.
This record from the Alexandria database describes crystalline K2URhS6 at its relaxed geometry. The functional is PBE-GGA.

a = 6.9038 Å, b = 6.9302 Å, c = 9.7827 Å
α = 90.00°, β = 90.00°, γ = 90.00°
Closest atoms and distances in Å follow each position.
Space group Immm (No. 71)
Unique sites:
K  0.0000  0.0000  0.2498 (multiplicity 4)  12 S 3.45-3.47
U  0.0000  0.5000  0.0000 (multiplicity 2)  6 S 2.52
Rh  0.0000  0.5000  0.5000 (multiplicity 2)  6 S 2.37
S  0.0000  0.5000  0.2575 (multiplicity 4)  1 Rh 2.37, 1 U 2.52
S  0.2426  0.2574  0.5000 (multiplicity 8)  1 Rh 2.37, 1 U 2.52

Properties
E_tot	-5.434	eV per atom
volume	23.403	A^3/atom
DOS(E_F)	1.20	states/eV per atom


3.
This record from the Alexandria database describes crystalline Pm3DyPt2 at its relaxed geometry. The functional is PBE-GGA.

a = 7.0164 Å, b = 13.9544 Å, c = 7.2561 Å
α = 90.00°, β = 90.00°, γ = 90.00°
Closest atoms and distances in Å follow each position.
Space group Ibam (No. 72)
Unique sites:
Pm  0.0000  0.0000  0.2500 (multiplicity 4)  4 Pt 3.04
Pm  0.0000  0.2653  0.2500 (multiplicity 8)  4 Pt 2.94-3.03
Dy  0.0000  0.5000  0.0000 (multiplicity 4)  2 Pt 2.79
Pt  0.2125  0.1383  0.0000 (multiplicity 8)  1 Dy 2.79, 6 Pm 2.94-3.04

Properties
E_tot	-5.932	eV per atom
volume	29.602	A^3/atom
calculated formation energy	-776	meV per atom
DOS(E_F)	0.97	states/eV per atom
E above lowest polymorph	0.080	eV/atom


4.
This record from the Alexandria database describes crystalline LaThPb2 at its relaxed geometry. The functional is PBE-GGA.

a = 5.2410 Å, b = 5.2410 Å, c = 16.6745 Å
α = 90.00°, β = 90.00°, γ = 120.00°
Closest atoms and distances in Å follow each position.
Space group R-3m (No. 166, hexagonal axes)
Unique sites:
La  0.0000  0.0000  0.0000 (multiplicity 3)  6 Pb 3.35
Th  0.0000  0.0000  0.5000 (multiplicity 3)  6 Pb 3.31
Pb  0.0000  0.0000  0.2476 (multiplicity 6)  3 Th 3.31, 3 La 3.35

Properties
E_tot	-5.299	eV per atom
volume	33.054	A^3/atom
calculated formation energy	-358	meV per atom
DOS(E_F)	0.92	states/eV per atom


5.
This record from the Alexandria database describes crystalline Pm12Dy3Y at its relaxed geometry. The functional is PBE-GGA.

a = 5.1300 Å, b = 5.1300 Å, c = 20.4779 Å
α = 90.00°, β = 90.00°, γ = 90.00°
Closest atoms and distances in Å follow each position.
Space group P4/mmm (No. 123)
Unique sites:
Pm  0.0000  0.0000  0.0000 (multiplicity 1)  8 Pm 3.62, 4 Dy 3.63
Pm  0.0000  0.0000  0.2497 (multiplicity 2)  8 Pm 3.62, 4 Dy 3.63
Pm  0.0000  0.0000  0.5000 (multiplicity 1)  4 Y 3.63, 8 Pm 3.63
Pm  0.0000  0.5000  0.1249 (multiplicity 4)  8 Pm 3.62-3.63, 4 Dy 3.62
Pm  0.0000  0.5000  0.3745 (multiplicity 4)  2 Dy 3.62, 8 Pm 3.62-3.63, 2 Y 3.63
Dy  0.5000  0.5000  0.0000 (multiplicity 1)  12 Pm 3.62-3.63
Dy  0.5000  0.5000  0.2498 (multiplicity 2)  12 Pm 3.62-3.63
Y  0.5000  0.5000  0.5000 (multiplicity 1)  12 Pm 3.63

Properties
E_tot	-4.815	eV per atom
volume	33.682	A^3/atom
calculated formation energy	14	meV per atom
DOS(E_F)	1.50	states/eV per atom


6.
This record from the Alexandria database describes crystalline Be2PPb at its relaxed geometry. The functional is PBE-GGA.

a = 3.8289 Å, b = 5.2230 Å, c = 7.4377 Å
α = 90.00°, β = 90.00°, γ = 90.00°
Closest atoms and distances in Å follow each position.
Space group Cmm2 (No. 35)
Unique sites:
Be  0.0000  0.0000  0.0000 (multiplicity 2)  2 P 2.14, 2 Be 2.24
Be  0.0000  0.5000  0.1561 (multiplicity 2)  1 P 2.11, 2 Be 2.24
P  0.0000  0.5000  0.8729 (multiplicity 2)  3 Be 2.11-2.14
Pb  0.0000  0.0000  0.4102 (multiplicity 2)  2 Be 2.69

Properties
E_tot	-3.800	eV per atom
volume	18.593	A^3/atom
calculated formation energy	343	meV per atom
DOS(E_F)	0.43	states/eV per atom
E above lowest polymorph	0.197	eV/atom


7.
This record from the Alexandria database describes crystalline LuTiZnCu at its relaxed geometry. The functional is PBE-GGA.

a = 6.5828 Å, b = 6.5828 Å, c = 6.5828 Å
α = 90.00°, β = 90.00°, γ = 90.00°
Closest atoms and distances in Å follow each position.
Space group F-43m (No. 216)
Unique sites:
Lu  0.0000  0.0000  0.0000 (multiplicity 4)  4 Cu 2.85, 4 Zn 2.85
Ti  0.0000  0.0000  0.5000 (multiplicity 4)  4 Zn 2.85, 4 Cu 2.85
Zn  0.2500  0.2500  0.7500 (multiplicity 4)  4 Lu 2.85, 4 Ti 2.85
Cu  0.2500  0.2500  0.2500 (multiplicity 4)  4 Ti 2.85, 4 Lu 2.85

Properties
E_tot	-4.572	eV per atom
volume	17.829	A^3/atom
calculated formation energy	-126	meV per atom
DOS(E_F)	1.13	states/eV per atom


8.
This record from the Alexandria database describes crystalline CrCu2Ir at its relaxed geometry. The functional is PBE-GGA.

a = 5.1309 Å, b = 7.3842 Å, c = 2.7946 Å
α = 90.00°, β = 90.00°, γ = 90.00°
Closest atoms and distances in Å follow each position.
Space group Cmmm (No. 65)
Unique sites:
Cr  0.0000  0.0000  0.0000 (multiplicity 2)  2 Ir 2.57, 8 Cu 2.65, 2 Cr 2.79
Cu  0.2500  0.2500  0.5000 (multiplicity 4)  4 Cu 2.57-2.79, 4 Cr 2.65, 4 Ir 2.65
Ir  0.0000  0.5000  0.0000 (multiplicity 2)  2 Cr 2.57, 8 Cu 2.65, 2 Ir 2.79

Properties
E_tot	-6.417	eV per atom
volume	13.235	A^3/atom
calculated formation energy	252	meV per atom
DOS(E_F)	1.42	states/eV per atom


9.
This record from the Alexandria database describes crystalline Cs3PdCl6 at its relaxed geometry. The functional is PBE-GGA.

a = 7.8901 Å, b = 7.8901 Å, c = 11.7613 Å
α = 90.00°, β = 90.00°, γ = 90.00°
Closest atoms and distances in Å follow each position.
Space group I4/mmm (No. 139)
Unique sites:
Cs  0.0000  0.0000  0.0000 (multiplicity 2)  6 Cl 3.23-3.25
Cs  0.0000  0.5000  0.2500 (multiplicity 4)  12 Cl 3.96-4.08
Pd  0.0000  0.0000  0.5000 (multiplicity 2)  6 Cl 2.35-2.63
Cl  0.0000  0.0000  0.2764 (multiplicity 4)  1 Pd 2.63
Cl  0.2110  0.2110  0.5000 (multiplicity 8)  1 Pd 2.35

Properties
E_tot	-3.226	eV per atom
volume	36.609	A^3/atom
DOS(E_F)	0.00	states/eV per atom
E above lowest polymorph	0.013	eV/atom


10.
This record from the Alexandria database describes crystalline La4Te2OsBr at its relaxed geometry. The functional is PBE-GGA.

a = 7.7920 Å, b = 4.3514 Å, c = 7.8596 Å
α = 90.00°, β = 107.00°, γ = 90.00°
Closest atoms and distances in Å follow each position.
Space group P2/m (No. 10)
Unique sites:
La  0.2163  0.0000  0.2143 (multiplicity 2)  2 Os 2.96, 1 Br 3.15, 1 Te 3.18
La  0.2220  0.5000  0.7747 (multiplicity 2)  1 Os 2.81
Te  0.0000  0.0000  0.5000 (multiplicity 1)  6 La 3.18-3.19
Te  0.5000  0.5000  0.5000 (multiplicity 1)  6 La 3.43-3.48
Os  0.0000  0.5000  0.0000 (multiplicity 1)  6 La 2.81-2.96
Br  0.5000  0.0000  0.0000 (multiplicity 1)  6 La 3.15-3.21

Properties
E_tot	-6.019	eV per atom
volume	31.856	A^3/atom
DOS(E_F)	0.80	states/eV per atom


11.
This record from the Alexandria database describes crystalline BeHIr2 at its relaxed geometry. The functional is PBE-GGA.

a = 5.4898 Å, b = 5.4898 Å, c = 5.4898 Å
α = 90.00°, β = 90.00°, γ = 90.00°
Closest atoms and distances in Å follow each position.
Space group Fm-3m (No. 225)
Unique sites:
Be  0.0000  0.0000  0.0000 (multiplicity 4)  8 Ir 2.38
H  0.0000  0.0000  0.5000 (multiplicity 4)  8 Ir 2.38
Ir  0.2500  0.2500  0.2500 (multiplicity 8)  4 H 2.38, 4 Be 2.38

Properties
E_tot	-5.979	eV per atom
volume	10.341	A^3/atom
DOS(E_F)	0.69	states/eV per atom
E above lowest polymorph	0.177	eV/atom


12.
This record from the Alexandria database describes crystalline Tm3Mg7Tl2 at its relaxed geometry. The functional is PBE-GGA.

a = 6.0236 Å, b = 6.0236 Å, c = 28.8588 Å
α = 90.00°, β = 90.00°, γ = 120.00°
Closest atoms and distances in Å follow each position.
Space group R-3m (No. 166, hexagonal axes)
Unique sites:
Tm  0.0000  0.0000  0.0000 (multiplicity 3)  6 Tl 3.48, 12 Mg 3.88
Tm  0.0000  0.0000  0.1453 (multiplicity 6)  12 Mg 3.43-3.53, 3 Tm 3.69
Mg  0.0000  0.0000  0.5000 (multiplicity 3)  6 Mg 2.95
Mg  0.0062  0.5031  0.9151 (multiplicity 18)  5 Mg 2.95-3.07, 2 Tl 3.00-3.01
Tl  0.0000  0.0000  0.3344 (multiplicity 6)  6 Mg 3.00-3.01

Properties
E_tot	-2.498	eV per atom
volume	25.190	A^3/atom
calculated formation energy	-56	meV per atom
DOS(E_F)	0.71	states/eV per atom


13.
This record from the Alexandria database describes crystalline RbCrGaSe4 at its relaxed geometry. The functional is PBE-GGA.

a = 6.5887 Å, b = 6.8904 Å, c = 8.6649 Å
α = 90.00°, β = 93.25°, γ = 90.00°
Closest atoms and distances in Å follow each position.
Space group P2_1/m (No. 11)
Unique sites:
Rb  0.2353  0.2500  0.0593 (multiplicity 2)  6 Se 3.36-3.71, 1 Ga 3.73
Cr  0.1629  0.7500  0.4622 (multiplicity 2)  6 Se 2.43-2.59
Ga  0.3508  0.2500  0.6425 (multiplicity 2)  4 Se 2.38-2.48
Se  0.0830  0.0019  0.6729 (multiplicity 4)  1 Ga 2.48, 2 Cr 2.59
Se  0.3362  0.7500  0.2009 (multiplicity 2)  1 Ga 2.40, 1 Cr 2.59
Se  0.4950  0.7500  0.5992 (multiplicity 2)  1 Ga 2.38, 1 Cr 2.43

Properties
E_tot	-4.536	eV per atom
volume	28.053	A^3/atom
DOS(E_F)	0.24	states/eV per atom


14.
This record from the Alexandria database describes crystalline MnAsPd3 at its relaxed geometry. The functional is PBE-GGA.

a = 4.6434 Å, b = 4.6434 Å, c = 4.6434 Å
α = 90.00°, β = 90.00°, γ = 90.00°
Closest atoms and distances in Å follow each position.
Space group Pm-3m (No. 221)
Unique sites:
Mn  0.0000  0.0000  0.0000 (multiplicity 1)  6 Pd 2.32
As  0.5000  0.5000  0.5000 (multiplicity 1)  12 Pd 3.28
Pd  0.0000  0.0000  0.5000 (multiplicity 3)  2 Mn 2.32

Properties
E_tot	-5.129	eV per atom
volume	20.024	A^3/atom
calculated formation energy	751	meV per atom
DOS(E_F)	0.61	states/eV per atom
E above lowest polymorph	0.962	eV/atom


15.
This record from the Alexandria database describes crystalline YTmTlIr at its relaxed geometry. The functional is PBE-GGA.

a = 7.1683 Å, b = 7.1683 Å, c = 7.1683 Å
α = 90.00°, β = 90.00°, γ = 90.00°
Closest atoms and distances in Å follow each position.
Space group F-43m (No. 216)
Unique sites:
Y  0.0000  0.0000  0.0000 (multiplicity 4)  4 Ir 3.10, 4 Tl 3.10
Tm  0.0000  0.0000  0.5000 (multiplicity 4)  4 Tl 3.10, 4 Ir 3.10
Tl  0.2500  0.2500  0.7500 (multiplicity 4)  4 Tm 3.10, 4 Y 3.10
Ir  0.2500  0.2500  0.2500 (multiplicity 4)  4 Tm 3.10, 4 Y 3.10

Properties
E_tot	-6.046	eV per atom
volume	23.021	A^3/atom
calculated formation energy	-506	meV per atom
DOS(E_F)	0.40	states/eV per atom
E above lowest polymorph	0.121	eV/atom


16.
This record from the Alexandria database describes crystalline RePtW2 at its relaxed geometry. The functional is PBE-GGA.

a = 3.3230 Å, b = 3.3230 Å, c = 5.7359 Å
α = 90.00°, β = 90.00°, γ = 90.00°
Closest atoms and distances in Å follow each position.
Space group P4mm (No. 99)
Unique sites:
Re  0.0000  0.0000  0.0000 (multiplicity 1)  6 W 2.70-2.88, 4 Pt 2.81
Pt  0.5000  0.5000  0.7315 (multiplicity 1)  6 W 2.70-2.87, 4 Re 2.81
W  0.0000  0.0000  0.4983 (multiplicity 1)  4 Pt 2.70, 4 W 2.80, 2 Re 2.86-2.88
W  0.5000  0.5000  0.2324 (multiplicity 1)  4 Re 2.70, 4 W 2.80, 2 Pt 2.86-2.87

Properties
E_tot	-10.985	eV per atom
volume	15.834	A^3/atom
calculated formation energy	114	meV per atom
DOS(E_F)	0.61	states/eV per atom
E above lowest polymorph	0.209	eV/atom


17.
This record from the Alexandria database describes crystalline CaYFe2 at its relaxed geometry. The functional is PBE-GGA.

a = 3.4119 Å, b = 3.4119 Å, c = 25.9585 Å
α = 90.00°, β = 90.00°, γ = 120.00°
Closest atoms and distances in Å follow each position.
Space group R-3m (No. 166, hexagonal axes)
Unique sites:
Ca  0.0000  0.0000  0.0000 (multiplicity 3)  6 Fe 3.01
Y  0.0000  0.0000  0.5000 (multiplicity 3)  6 Fe 2.84
Fe  0.0000  0.0000  0.2456 (multiplicity 6)  3 Y 2.84, 3 Ca 3.01

Properties
E_tot	-5.644	eV per atom
volume	21.808	A^3/atom
calculated formation energy	704	meV per atom
DOS(E_F)	1.96	states/eV per atom


18.
This record from the Alexandria database describes crystalline Ni2SbBr at its relaxed geometry. The functional is PBE-GGA.

a = 6.5370 Å, b = 6.5499 Å, c = 3.1691 Å
α = 90.00°, β = 90.00°, γ = 90.00°
Closest atoms and distances in Å follow each position.
Space group Cmmm (No. 65)
Unique sites:
Ni  0.2500  0.2500  0.0000 (multiplicity 4)  4 Sb 2.80, 4 Br 2.80
Sb  0.0000  0.0000  0.5000 (multiplicity 2)  8 Ni 2.80
Br  0.0000  0.5000  0.5000 (multiplicity 2)  8 Ni 2.80

Properties
E_tot	-3.940	eV per atom
volume	16.961	A^3/atom
DOS(E_F)	0.59	states/eV per atom
E above lowest polymorph	0.425	eV/atom


19.
This record from the Alexandria database describes crystalline NbTe4Ir at its relaxed geometry. The functional is PBE-GGA.

a = 3.8071 Å, b = 12.7051 Å, c = 13.7343 Å
α = 90.00°, β = 90.00°, γ = 90.00°
Closest atoms and distances in Å follow each position.
Space group Pmn2_1 (No. 31)
Unique sites:
Nb  0.0000  0.0549  0.0000 (multiplicity 2)  6 Te 2.67-2.92
Nb  0.0000  0.2695  0.4858 (multiplicity 2)  6 Te 2.67-2.91
Te  0.0000  0.0662  0.3887 (multiplicity 2)  3 Nb 2.89-2.91
Te  0.0000  0.1941  0.8542 (multiplicity 2)  1 Nb 2.67, 2 Ir 2.73
Te  0.0000  0.3472  0.0878 (multiplicity 2)  3 Ir 2.67-2.72
Te  0.0000  0.4122  0.6285 (multiplicity 2)  1 Nb 2.67, 2 Ir 2.73
Te  0.0000  0.5640  0.3945 (multiplicity 2)  3 Ir 2.67-2.72
Te  0.0000  0.6754  0.8463 (multiplicity 2)  1 Ir 2.70, 2 Nb 2.79
Te  0.0000  0.8511  0.0989 (multiplicity 2)  3 Nb 2.90-2.92
Te  0.0000  0.8900  0.6395 (multiplicity 2)  1 Ir 2.71, 2 Nb 2.79
Ir  0.0000  0.5359  0.9949 (multiplicity 2)  6 Te 2.67-2.73
Ir  0.0000  0.7527  0.4880 (multiplicity 2)  6 Te 2.67-2.73

Properties
E_tot	-5.654	eV per atom
volume	27.680	A^3/atom
DOS(E_F)	0.18	states/eV per atom
E above lowest polymorph	0.000	eV/atom


20.
This record from the Alexandria database describes crystalline AlTcNi6 at its relaxed geometry. The functional is PBE-GGA.

a = 3.5881 Å, b = 3.5881 Å, c = 7.1783 Å
α = 90.00°, β = 90.00°, γ = 90.00°
Closest atoms and distances in Å follow each position.
Space group P4/mmm (No. 123)
Unique sites:
Al  0.0000  0.0000  0.0000 (multiplicity 1)  12 Ni 2.54
Tc  0.0000  0.0000  0.5000 (multiplicity 1)  12 Ni 2.53-2.54
Ni  0.0000  0.5000  0.2510 (multiplicity 4)  2 Tc 2.53, 8 Ni 2.53-2.54, 2 Al 2.54
Ni  0.5000  0.5000  0.0000 (multiplicity 1)  4 Al 2.54, 8 Ni 2.54
Ni  0.5000  0.5000  0.5000 (multiplicity 1)  8 Ni 2.53, 4 Tc 2.54

Properties
E_tot	-6.285	eV per atom
volume	11.552	A^3/atom
calculated formation energy	-185	meV per atom
DOS(E_F)	1.09	states/eV per atom
E above lowest polymorph	0.000	eV/atom